TaCrNF2 after structural relaxation. Source: Alexandria via LeMat-Bulk, functional PBE+U.

Properties
The value obtained for the total energy is -33.84 eV for the cell shown. The total magnetic moment comes out at 5.7 μB/f.u. As for the distance to the lowest polymorph of the same formula: 0.6772 eV/atom.

POSCAR file:
```
TaCrNF2
1.0
-1.8352 -2.8900 1.1712
2.2429 -2.1675 -1.8339
3.3047 -0.3114 4.4099
Cr N F Ta
1 1 2 1
Cartesian
0.0000 0.0000 0.0000 Cr
1.6524 -0.1557 2.2050 N
1.1215 -1.0838 -0.9169 F
-0.9176 -1.4450 0.5856 F
1.8562 -2.6845 1.8736 Ta
```